The following is a PBE calculation of a relaxed SrScF2 crystal, from the Alexandria database.

For the excess energy over the best structure of this formula in the dataset, the calculation gives 0.00 kcal/mol of atoms. The formation energy without anion corrections is -10.6 eV/f.u. The calculated density comes out at 3.34 g/cm³. The density of states at the Fermi level comes out at 10.85 states/eV/cell.

It has space group R-3m (No. 166, hexagonal axes), with a = 4.0730 Å, b = 4.0730 Å, c = 17.6892 Å, α = 90.00°, β = 90.00° and γ = 120.00°. The inequivalent atoms are Sr at (0.0000, 0.0000, 0.0000), Sc at (0.0000, 0.0000, 0.5000) and F at (0.0000, 0.0000, 0.3822).